DFT (PBE) results for HoTmNpO6 after structural relaxation.

Values from the calculation:
For the calculated volume, the calculation gives 262.1 Å³ per cell. As for the size of the total moment: 2.00 μB/cell. Its uncorrected formation energy is -3.23 eV/atom. The space group is No. 163.

```
18
Lattice="5.671 0.000 0.000 -2.835 4.911 0.000 0.000 0.000 9.410" Properties=species:S:1:pos:R:3 pbc="T T T"
Ho 0.000 0.000 0.000
Ho 0.000 0.000 4.705
Tm 0.000 3.274 2.353
Tm 2.835 1.637 7.058
Np 0.000 3.274 7.058
Np 2.835 1.637 2.353
O -0.887 1.741 5.964
O -1.771 3.273 8.152
O 0.887 1.741 8.152
O -0.885 4.809 5.964
O 1.951 0.103 1.258
O 1.064 1.638 3.447
O 1.771 3.273 5.964
O 0.885 4.809 8.152
O 3.720 0.103 3.447
O 1.949 3.170 1.258
O 4.607 1.638 1.258
O 3.722 3.170 3.447
```